## TeMo2Se (PBE-GGA)

Data for crystalline TeMo2Se at its relaxed geometry.

abc: 4.2651 3.4419 6.6590
angles: 89.89 90.00 90.00
With the nearest neighbours (Å) after each atom.
Sites, in units of the cell vectors:
Mo 0.5000 0.3749 0.1520  2 Se 2.66, 2 Te 2.69, 4 Mo 2.75
Mo 0.0000 0.8751 0.1149  2 Se 2.52, 4 Mo 2.75, 2 Te 2.80
Se 0.0000 0.3740 0.3916  4 Mo 2.52-2.66
Te 0.5000 0.8760 0.8415  4 Mo 2.69-2.80

Summary:
**Energy above the lowest structure with this stoichiometry**: 0 meV/atom
**Space group**: No. 6
**Formation energy (no corrections)**: -0.14 eV/atom
**V**: 97.75 Å³ per cell

---

## Te2MoSe (PBE-GGA)

Data for crystalline Te2MoSe at its relaxed geometry.

abc: 5.1075 5.1075 5.1072
angles: 69.38 69.38 107.15
With the nearest neighbours (Å) after each atom.
Sites, in units of the cell vectors:
Mo 0.5000 0.0000 0.5000  4 Te 2.91, 2 Se 3.03
Se 0.0000 0.5000 0.5000  4 Te 2.91, 2 Mo 3.03
Te 0.0000 0.0000 0.0000  2 Se 2.91, 2 Mo 2.91, 2 Te 3.03
Te 0.5000 0.5000 0.0000  2 Mo 2.91, 2 Se 2.91, 2 Te 3.03

Summary:
**Space group**: No. 139
**Formation energy (no corrections)**: 0.50 eV/atom
**V**: 102.50 Å³ per cell

---

## Te2MoSe (PBE-GGA)

Data for crystalline Te2MoSe at its relaxed geometry.

abc: 7.1502 7.1502 7.1502
angles: 154.04 139.20 49.00
With the nearest neighbours (Å) after each atom.
Sites, in units of the cell vectors:
Mo 0.5200 0.5200 0.0000  2 Se 2.49
Te 0.3337 0.8337 0.5000  2 Mo 2.91, 4 Te 3.13-3.21
Te 0.9796 0.9796 0.0000  4 Mo 3.01, 4 Te 3.13-3.21
Se 0.6666 0.1666 0.5000  2 Mo 2.49

Summary:
**Space group**: No. 44
**Formation energy (no corrections)**: 0.15 eV/atom
**V**: 104.17 Å³ per cell

---

## TeMo2Se (PBE-GGA)

Data for crystalline TeMo2Se at its relaxed geometry.

abc: 4.7185 4.7185 4.7185
angles: 60.00 60.00 60.00
With the nearest neighbours (Å) after each atom.
Sites, in units of the cell vectors:
Mo 0.0000 0.0000 0.0000  4 Mo 2.89, 4 Te 2.89
Mo 0.2500 0.2500 0.2500  4 Se 2.89, 4 Mo 2.89
Te 0.7500 0.7500 0.7500  4 Se 2.89, 4 Mo 2.89
Se 0.5000 0.5000 0.5000  4 Te 2.89, 4 Mo 2.89

Summary:
**Energy above the lowest structure with this stoichiometry**: 944 meV/atom
**Space group**: No. 216
**Formation energy (no corrections)**: 0.80 eV/atom
**V**: 74.29 Å³ per cell